(1)
Here is a relaxed structure of BiP3Cl from the Alexandria database. Energies are from GGA-PBE.

Cell: 5.469 5.469 5.469 Å, 90.00 90.00 90.00°
Space group Pm-3m (No. 221)
Inequivalent atoms, fractional coordinates:
Bi  0.000  0.000  0.000 x1
P  0.000  0.000  0.500 x3
Cl  0.500  0.500  0.500 x1

Computed properties:
Total moment, μB/cell: 5.06
Excess energy over the best structure of this formula in the dataset, meV per atom: 337

=====

(2)
Here is a relaxed structure of BiPCl2 from the Alexandria database. Energies are from GGA-PBE.

Cell: 4.435 4.435 19.111 Å, 90.00 90.00 90.00°
Space group I-42d (No. 122)
Inequivalent atoms, fractional coordinates:
Bi  0.000  0.000  0.000 x4
P  0.000  0.000  0.500 x4
Cl  0.243  0.250  0.625 x8

Computed properties:
Total moment, μB/cell: 0.00
Excess energy over the best structure of this formula in the dataset, meV per atom: 0

=====

(3)
Here is a relaxed structure of BiPCl2 from the Alexandria database. Energies are from GGA-PBE.

Cell: 3.3825 3.3825 28.9413 Å, 90.00 90.00 120.00°
Space group R-3m (No. 166, hexagonal axes)
Inequivalent atoms, fractional coordinates:
Bi  0.0000  0.0000  0.0000 x3
P  0.0000  0.0000  0.5000 x3
Cl  0.0000  0.0000  0.4200 x6

Computed properties:
Total moment, μB/cell: 0.00
Excess energy over the best structure of this formula in the dataset, meV per atom: 21

=====

(4)
Here is a relaxed structure of BiP3Cl from the Alexandria database. Energies are from GGA-PBE.

Cell: 4.713 4.713 4.713 Å, 90.00 90.00 90.00°
Space group Pm-3m (No. 221)
Inequivalent atoms, fractional coordinates:
Bi  0.000  0.000  0.000 x1
P  0.000  0.500  0.500 x3
Cl  0.500  0.500  0.500 x1

Computed properties:
Total moment, μB/cell: 0.00
Excess energy over the best structure of this formula in the dataset, meV per atom: 0

=====

(5)
Here is a relaxed structure of BiPCl2 from the Alexandria database. Energies are from GGA-PBE.

Cell: 3.3744 3.3744 29.3110 Å, 90.00 90.00 120.00°
Space group R-3m (No. 166, hexagonal axes)
Inequivalent atoms, fractional coordinates:
Bi  0.0000  0.0000  0.0000 x3
P  0.0000  0.0000  0.5000 x3
Cl  0.0000  0.0000  0.0940 x6

Computed properties:
Total moment, μB/cell: 0.00
Excess energy over the best structure of this formula in the dataset, meV per atom: 237

=====

(6)
Here is a relaxed structure of BiPCl2 from the Alexandria database. Energies are from GGA-PBE.

Cell: 7.099 7.099 7.099 Å, 90.00 90.00 90.00°
Space group Fm-3m (No. 225)
Inequivalent atoms, fractional coordinates:
Bi  0.000  0.000  0.000 x4
P  0.000  0.000  0.500 x4
Cl  0.250  0.250  0.250 x8

Computed properties:
Total moment, μB/cell: 5.81
Excess energy over the best structure of this formula in the dataset, meV per atom: 375

=====

(7)
Here is a relaxed structure of BiPPdCl2 from the Alexandria database. Energies are from GGA-PBE.

Cell: 4.777 4.777 4.937 Å, 90.00 90.00 90.00°
Space group P4/mmm (No. 123)
Inequivalent atoms, fractional coordinates:
Bi  0.000  0.000  0.000 x1
P  0.500  0.500  0.000 x1
Pd  0.500  0.500  0.500 x1
Cl  0.000  0.500  0.500 x2

Computed properties:
Total moment, μB/cell: 0.00
Excess energy over the best structure of this formula in the dataset, meV per atom: 0

=====

(8)
Here is a relaxed structure of BiPPdCl2 from the Alexandria database. Energies are from GGA-PBE.

Cell: 5.347 5.347 5.507 Å, 90.00 90.00 90.00°
Space group P4/mmm (No. 123)
Inequivalent atoms, fractional coordinates:
Bi  0.000  0.000  0.000 x1
P  0.000  0.000  0.500 x1
Pd  0.500  0.500  0.500 x1
Cl  0.000  0.500  0.000 x2

Computed properties:
Total moment, μB/cell: 1.66
Excess energy over the best structure of this formula in the dataset, meV per atom: 434

=====

(9)
Here is a relaxed structure of Pm3BiPCl from the Alexandria database. Energies are from GGA-PBE.

Cell: 8.691 4.284 9.563 Å, 90.00 102.56 90.00°
Space group P2_1/m (No. 11)
Inequivalent atoms, fractional coordinates:
Pm  0.071  0.250  0.353 x2
Pm  0.204  0.250  0.977 x2
Pm  0.382  0.750  0.636 x2
Bi  0.320  0.750  0.276 x2
P  0.157  0.250  0.657 x2
Cl  0.387  0.750  0.923 x2

Computed properties:
Total moment, μB/cell: 1.38
Raw total energy, eV per formula unit: -32.84

=====

(10)
Here is a relaxed structure of Pr3BiPCl from the Alexandria database. Energies are from GGA-PBE.

Cell: 8.681 4.401 9.744 Å, 90.00 103.71 90.00°
Space group P2_1/m (No. 11)
Inequivalent atoms, fractional coordinates:
Pr  0.067  0.250  0.354 x2
Pr  0.217  0.250  0.977 x2
Pr  0.387  0.750  0.632 x2
Bi  0.310  0.750  0.267 x2
P  0.163  0.250  0.657 x2
Cl  0.399  0.750  0.920 x2

Computed properties:
Total moment, μB/cell: 1.75
Raw total energy, eV per formula unit: -32.93

=====

(11)
Here is a relaxed structure of BiPPtCl2 from the Alexandria database. Energies are from GGA-PBE.

Cell: 4.848 4.848 4.826 Å, 90.00 90.00 90.00°
Space group P4/mmm (No. 123)
Inequivalent atoms, fractional coordinates:
Bi  0.000  0.000  0.000 x1
P  0.500  0.500  0.000 x1
Pt  0.500  0.500  0.500 x1
Cl  0.000  0.500  0.500 x2

Computed properties:
Total moment, μB/cell: 0.00
Excess energy over the best structure of this formula in the dataset, meV per atom: 0

=====

(12)
Here is a relaxed structure of BiPPtCl2 from the Alexandria database. Energies are from GGA-PBE.

Cell: 5.181 5.181 5.650 Å, 90.00 90.00 90.00°
Space group P4/mmm (No. 123)
Inequivalent atoms, fractional coordinates:
Bi  0.000  0.000  0.000 x1
P  0.000  0.000  0.500 x1
Pt  0.500  0.500  0.500 x1
Cl  0.000  0.500  0.000 x2

Computed properties:
Total moment, μB/cell: 0.66
Excess energy over the best structure of this formula in the dataset, meV per atom: 679

=====

Question: The highest total moment belongs to which entry?
Answer: number 6